No. 1
Crystalline PuNCl4 at its relaxed geometry, computed with PBE.

```
PuNCl4
1.0
-1.871 0.369 7.121
-5.865 -2.859 -1.393
6.746 -5.905 -0.304
Cl N Pu
8 2 2
Cartesian
0.802 -3.018 0.662
0.658 -2.447 4.411
-1.792 -5.377 4.763
-2.354 -2.586 2.413
-1.649 -5.947 1.014
1.363 -5.809 3.012
3.463 -5.426 -0.273
-4.453 -2.969 5.698
1.373 -8.203 0.312
-2.363 -0.191 5.113
-0.495 -4.197 2.712
3.373 -2.952 -0.152
```

Calculated values
space-group type: No. 15
energy: -32.97 eV/f.u.
spin magnetization: 14.000 μB per cell
crystal system: monoclinic
ρ: 3.37 g/cm3

=====

No. 2
Crystalline Ac2PaSn at its relaxed geometry, computed with PBE.

```
Ac2PaSn
1.0
-1.419 -4.703 3.018
2.307 -0.887 5.209
-3.272 0.484 4.722
Sn Ac Pa
1 2 1
Cartesian
-1.193 -2.553 6.475
-1.789 -3.829 9.712
-0.596 -1.276 3.237
0.000 0.000 0.000
```

Calculated values
polymorph energy (0 for the lowest one): 0.880 eV/f.u.
space-group type: No. 225
energy: -20.83 eV/f.u.
formation energy: 21 kJ per mole of atoms
spin magnetization: 1.756 μB per cell
crystal system: cubic
ρ: 9.85 g/cm3

=====

No. 3
Crystalline Pd3RuPt4 at its relaxed geometry, computed with PBE.

```
Pd3RuPt4
1.0
3.786 -0.001 -1.024
-0.272 3.781 -1.005
0.238 0.214 8.417
Pd Ru Pt
3 1 4
Cartesian
0.864 2.945 3.209
2.888 1.049 3.180
-0.136 1.891 -0.503
1.893 0.000 -0.512
1.508 1.590 5.595
3.265 3.480 4.581
0.487 0.514 1.807
2.245 2.405 0.793
```

Calculated values
space-group type: No. 139
energy: -48.98 eV/f.u.
formation energy: 0 kJ per mole of atoms
spin magnetization: 0.001 μB per cell
crystal system: tetragonal
ρ: 16.31 g/cm3